Entry from OQMD: an optimized crystal structure of RbSb5Pd3 (PBE).

Unit cell a=5.6963 b=5.6963 c=8.8999 alpha=90.00 beta=90.00 gamma=120.00
Positions (direct):
Sb1 0.6667 0.3333 0.7518
Sb2 0.0000 0.0000 0.5000
Sb3 0.6667 0.3333 0.2482
Rb1 0.0000 0.0000 0.0000
Sb4 0.3333 0.6667 0.2482
Pd1 0.5000 0.0000 0.5000
Pd2 0.5000 0.5000 0.5000
Sb5 0.3333 0.6667 0.7518
Pd3 0.0000 0.5000 0.5000

Output
Raw total energy: -4.438 eV/atom
Symmetry: P6/mmm
Crystal system: hexagonal

---

Entry from OQMD: an optimized crystal structure of RbSbPd (PBE).

Unit cell a=5.0409 b=5.0409 c=5.0409 alpha=60.00 beta=60.00 gamma=60.00
Positions (direct):
Sb1 0.7500 0.7500 0.7500
Rb1 0.2500 0.2500 0.2500
Pd1 0.0000 0.0000 0.0000

Output
Symmetry: F-43m
Crystal system: cubic
Excess energy over the best structure of this formula in the dataset: 0 meV per atom

---

Entry from OQMD: an optimized crystal structure of RbSbPd (PBE).

Unit cell a=5.2949 b=5.2949 c=5.2949 alpha=60.00 beta=60.00 gamma=60.00
Positions (direct):
Sb1 0.7500 0.7500 0.7500
Rb1 0.0000 0.0000 0.0000
Pd1 0.2500 0.2500 0.2500

Output
Symmetry: F-43m
Crystal system: cubic
Excess energy over the best structure of this formula in the dataset: 741 meV per atom

---

Entry from OQMD: an optimized crystal structure of RbSbPdSe3 (PBE).

Unit cell a=9.0392 b=4.2490 c=9.8151 alpha=90.00 beta=107.51 gamma=90.00
Positions (direct):
Se1 0.6211 0.7500 0.8742
Sb1 0.8266 0.2500 0.8714
Se2 0.0394 0.7500 0.8427
Pd1 0.4304 0.2500 0.4115
Pd2 0.5696 0.7500 0.5885
Sb2 0.1734 0.7500 0.1286
Se3 0.3789 0.2500 0.1258
Rb1 0.2960 0.2500 0.7436
Rb2 0.7040 0.7500 0.2564
Se4 0.2941 0.7500 0.4437
Se5 0.9606 0.2500 0.1573
Se6 0.7059 0.2500 0.5563

Output
Raw total energy: -3.931 eV/atom
Symmetry: P2_1/m
Crystal system: monoclinic

---

Entry from OQMD: an optimized crystal structure of RbSbTe3Pd (PBE).

Unit cell a=9.2019 b=4.6142 c=10.6288 alpha=90.00 beta=115.32 gamma=90.00
Positions (direct):
Te1 0.0119 0.2500 0.1957
Pd1 0.3454 0.2500 0.3368
Rb1 0.2413 0.2500 0.7058
Sb1 0.2120 0.7500 0.1223
Te2 0.5846 0.7500 0.9035
Te3 0.4154 0.2500 0.0965
Pd2 0.6546 0.7500 0.6632
Te4 0.3465 0.7500 0.4712
Rb2 0.7587 0.7500 0.2942
Te5 0.6535 0.2500 0.5288
Te6 0.9881 0.7500 0.8043
Sb2 0.7880 0.2500 0.8777

Output
Raw total energy: -3.685 eV/atom
Symmetry: P2_1/m
Crystal system: monoclinic

---

Entry from OQMD: an optimized crystal structure of RbPd3Se5 (PBE).

Unit cell a=6.0555 b=6.0555 c=7.0372 alpha=90.00 beta=90.00 gamma=120.00
Positions (direct):
Se1 0.6667 0.3333 0.2479
Pd1 0.5000 0.5000 0.5000
Se2 0.3333 0.6667 0.7521
Se3 0.0000 0.0000 0.5000
Se4 0.6667 0.3333 0.7521
Rb1 0.0000 0.0000 0.0000
Pd2 0.5000 0.0000 0.5000
Se5 0.3333 0.6667 0.2479
Pd3 0.0000 0.5000 0.5000

Output
Raw total energy: -4.136 eV/atom
Symmetry: P6/mmm
Crystal system: hexagonal

---

Entry from OQMD: an optimized crystal structure of RbTmPdSe3 (PBE).

Unit cell a=15.4341 b=4.1307 c=10.8201 alpha=90.00 beta=90.00 gamma=90.00
Site moments in Bohr magnetons follow the coordinates.
Positions (direct):
Se1 0.9208 0.7500 0.3795  0.11
Se2 0.9071 0.2500 0.0824  0.03
Se3 0.0929 0.7500 0.9176  0.03
Pd1 0.0095 0.2500 0.4084  0.26
Rb1 0.7349 0.7500 0.0402  0.00
Tm1 0.5249 0.7500 0.3454  0.01
Pd2 0.4905 0.7500 0.9084  0.26
Se4 0.8668 0.7500 0.7572  0.09
Se5 0.4071 0.2500 0.4176  0.03
Se6 0.6332 0.2500 0.2572  0.08
Rb2 0.2651 0.2500 0.9598  0.00
Se7 0.1332 0.2500 0.2428  0.09
Pd3 0.5095 0.2500 0.0916  0.26
Se8 0.5792 0.2500 0.8795  0.10
Se9 0.3668 0.7500 0.7428  0.08
Tm2 0.4751 0.2500 0.6546  0.01
Rb3 0.2349 0.7500 0.4598  0.00
Pd4 0.9905 0.7500 0.5916  0.26
Se10 0.4208 0.7500 0.1205  0.10
Tm3 0.0249 0.7500 0.1546  0.01
Tm4 0.9751 0.2500 0.8454  0.01
Se11 0.0792 0.2500 0.6205  0.11
Se12 0.5929 0.7500 0.5824  0.03
Rb4 0.7651 0.2500 0.5402  0.00

Output
Symmetry: Pnma
Crystal system: orthorhombic
Excess energy over the best structure of this formula in the dataset: 4 meV per atom

---

Entry from OQMD: an optimized crystal structure of RbTmPdSe3 (PBE).

Unit cell a=8.3988 b=8.3988 c=10.0657 alpha=90.00 beta=90.00 gamma=151.79
Positions (direct):
Rb1 0.7463 0.2537 0.2500
Se1 0.5825 0.4175 0.7500
Pd1 0.9872 0.0128 0.7500
Tm1 0.5000 0.5000 0.0000
Se2 0.8846 0.1154 0.5654
Rb2 0.2537 0.7463 0.7500
Pd2 0.0128 0.9872 0.2500
Se3 0.8846 0.1154 0.9346
Se4 0.1154 0.8846 0.0654
Tm2 0.5000 0.5000 0.5000
Se5 0.4175 0.5825 0.2500
Se6 0.1154 0.8846 0.4346

Output
Symmetry: Cmcm
Crystal system: orthorhombic
Excess energy over the best structure of this formula in the dataset: 0 meV per atom